1.
Computed, not measured: ScRu5 after structural relaxation at the PBE-GGA level of DFT.

Cell lengths 4.3816, 13.5989, 2.9807 Å; angles 90.00, 90.00, 90.00 degrees
Last column: nearest neighbours and their distance in Å.
Positions (direct):
Sc  0.0000  0.0000  0.0000  8 Ru 2.58-2.65
Sc  0.5000  0.5000  0.0000  8 Ru 2.58-2.65
Ru  0.0000  0.1550  0.5000  2 Sc 2.58, 6 Ru 2.64-2.68
Ru  0.0000  0.3156  0.0000  10 Ru 2.64-2.92
Ru  0.0000  0.5000  0.5000  4 Sc 2.65, 4 Ru 2.92
Ru  0.0000  0.6844  0.0000  10 Ru 2.64-2.92
Ru  0.0000  0.8450  0.5000  2 Sc 2.58, 6 Ru 2.64-2.68
Ru  0.5000  0.0000  0.5000  4 Sc 2.65, 4 Ru 2.92
Ru  0.5000  0.1844  0.0000  10 Ru 2.64-2.92
Ru  0.5000  0.3450  0.5000  2 Sc 2.58, 6 Ru 2.64-2.68
Ru  0.5000  0.6550  0.5000  2 Sc 2.58, 6 Ru 2.64-2.68
Ru  0.5000  0.8156  0.0000  10 Ru 2.64-2.92

- Calculated density: 10.29 g/cm³
- ΔH_f (0 K): 134 meV/atom
- Magnetization: 0.00 μB per formula unit
- Distance to the lowest polymorph of the same formula: 0.199 eV per atom
- E: -8.65 eV per atom

***

2.
Computed, not measured: Sc3Ru2 after structural relaxation at the PBE-GGA level of DFT.

Cell lengths 3.2265, 3.2265, 31.9210 Å; angles 90.00, 90.00, 120.00 degrees
Last column: nearest neighbours and their distance in Å.
Positions (direct):
Sc  0.0000  0.0000  0.0000  6 Ru 2.74
Sc  0.0000  0.0000  0.2134  3 Ru 2.61
Sc  0.0000  0.0000  0.7866  3 Ru 2.61
Sc  0.3333  0.6667  0.4532  3 Ru 2.61
Sc  0.3333  0.6667  0.6667  6 Ru 2.74
Sc  0.3333  0.6667  0.8801  3 Ru 2.61
Sc  0.6667  0.3333  0.1199  3 Ru 2.61
Sc  0.6667  0.3333  0.3333  6 Ru 2.74
Sc  0.6667  0.3333  0.5468  3 Ru 2.61
Ru  0.0000  0.0000  0.3961  6 Sc 2.61-2.74
Ru  0.0000  0.0000  0.6039  6 Sc 2.61-2.74
Ru  0.3333  0.6667  0.0628  6 Sc 2.61-2.74
Ru  0.3333  0.6667  0.2706  6 Sc 2.61-2.74
Ru  0.6667  0.3333  0.7294  6 Sc 2.61-2.74
Ru  0.6667  0.3333  0.9372  6 Sc 2.61-2.74

- Calculated density: 5.83 g/cm³
- ΔH_f (0 K): -198 meV/atom
- Magnetization: 0.00 μB per formula unit
- Distance to the lowest polymorph of the same formula: 0.273 eV per atom
- E: -7.71 eV per atom

***

3.
Computed, not measured: Sc3Ru2 after structural relaxation at the PBE-GGA level of DFT.

Cell lengths 4.5656, 4.5656, 5.3984 Å; angles 90.00, 90.00, 120.00 degrees
Last column: nearest neighbours and their distance in Å.
Positions (direct):
Sc  0.0000  0.0000  0.0000  6 Ru 2.77
Sc  0.3333  0.6667  0.3447  5 Ru 2.70-2.83
Sc  0.6667  0.3333  0.6553  5 Ru 2.70-2.83
Ru  0.3333  0.6667  0.8450  8 Sc 2.70-2.83
Ru  0.6667  0.3333  0.1550  8 Sc 2.70-2.83

- Calculated density: 5.74 g/cm³
- ΔH_f (0 K): -370 meV/atom
- Magnetization: 0.00 μB per formula unit
- Distance to the lowest polymorph of the same formula: 0.101 eV per atom
- E: -7.88 eV per atom

***

4.
Computed, not measured: Sc5Ru after structural relaxation at the PBE-GGA level of DFT.

Cell lengths 5.6904, 5.6904, 5.6904 Å; angles 60.00, 60.00, 60.00 degrees
Last column: nearest neighbours and their distance in Å.
Positions (direct):
Sc  0.0000  0.0000  0.0000  12 Sc 3.34, 4 Ru 3.48
Sc  0.1284  0.6239  0.6239  6 Sc 2.82-2.87
Sc  0.6239  0.1284  0.6239  6 Sc 2.82-2.87
Sc  0.6239  0.6239  0.1284  6 Sc 2.82-2.87
Sc  0.6239  0.6239  0.6239  6 Sc 2.82-2.87
Ru  0.2500  0.2500  0.2500  16 Sc 3.33-3.48

- Calculated density: 4.15 g/cm³
- ΔH_f (0 K): 412 meV/atom
- Magnetization: 2.21 μB per formula unit
- Distance to the lowest polymorph of the same formula: 0.638 eV per atom
- E: -6.41 eV per atom

***

5.
Computed, not measured: Sc3Ru4 after structural relaxation at the PBE-GGA level of DFT.

Cell lengths 3.1790, 3.1790, 23.7146 Å; angles 90.00, 90.00, 90.00 degrees
Last column: nearest neighbours and their distance in Å.
Positions (direct):
Sc  0.0000  0.0000  0.0000  8 Ru 2.74
Sc  0.0000  0.0000  0.3036  4 Ru 2.69
Sc  0.0000  0.0000  0.6964  4 Ru 2.69
Sc  0.5000  0.5000  0.1964  4 Ru 2.69
Sc  0.5000  0.5000  0.5000  8 Ru 2.74
Sc  0.5000  0.5000  0.8036  4 Ru 2.69
Ru  0.0000  0.0000  0.1338  4 Sc 2.69, 4 Ru 2.76
Ru  0.0000  0.0000  0.4339  4 Sc 2.74, 4 Ru 2.76
Ru  0.0000  0.0000  0.5661  4 Sc 2.74, 4 Ru 2.76
Ru  0.0000  0.0000  0.8662  4 Sc 2.69, 4 Ru 2.76
Ru  0.5000  0.5000  0.0661  4 Sc 2.74, 4 Ru 2.76
Ru  0.5000  0.5000  0.3662  4 Sc 2.69, 4 Ru 2.76
Ru  0.5000  0.5000  0.6338  4 Sc 2.69, 4 Ru 2.76
Ru  0.5000  0.5000  0.9339  4 Sc 2.74, 4 Ru 2.76

- Calculated density: 7.47 g/cm³
- ΔH_f (0 K): -75 meV/atom
- Magnetization: 0.00 μB per formula unit
- Distance to the lowest polymorph of the same formula: 0.000 eV per atom
- E: -8.09 eV per atom

***

6.
Computed, not measured: ScRu after structural relaxation at the PBE-GGA level of DFT.

Cell lengths 7.0815, 7.0815, 7.0815 Å; angles 90.00, 90.00, 90.00 degrees
Last column: nearest neighbours and their distance in Å.
Positions (direct):
Sc  0.0000  0.2500  0.5000  4 Ru 2.50
Sc  0.0000  0.7500  0.5000  4 Ru 2.50
Sc  0.2500  0.5000  0.0000  4 Ru 2.50
Sc  0.5000  0.0000  0.2500  4 Ru 2.50
Sc  0.5000  0.0000  0.7500  4 Ru 2.50
Sc  0.7500  0.5000  0.0000  4 Ru 2.50
Ru  0.0000  0.5000  0.2500  4 Sc 2.50
Ru  0.0000  0.5000  0.7500  4 Sc 2.50
Ru  0.2500  0.0000  0.5000  4 Sc 2.50
Ru  0.5000  0.2500  0.0000  4 Sc 2.50
Ru  0.5000  0.7500  0.0000  4 Sc 2.50
Ru  0.7500  0.0000  0.5000  4 Sc 2.50

- Calculated density: 4.10 g/cm³
- ΔH_f (0 K): 1263 meV/atom
- Magnetization: 0.33 μB per formula unit
- E: -6.54 eV per atom

***

7.
Computed, not measured: ScRu after structural relaxation at the PBE-GGA level of DFT.

Cell lengths 4.3524, 4.3524, 4.8784 Å; angles 90.00, 90.00, 120.00 degrees
Last column: nearest neighbours and their distance in Å.
Positions (direct):
Sc  0.3333  0.6667  0.2500  6 Ru 2.79
Sc  0.6667  0.3333  0.7500  6 Ru 2.79
Ru  0.0000  0.0000  0.0000  2 Ru 2.44
Ru  0.0000  0.0000  0.5000  2 Ru 2.44

- Calculated density: 6.06 g/cm³
- ΔH_f (0 K): -209 meV/atom
- Magnetization: 0.00 μB per formula unit
- E: -8.01 eV per atom

***

8.
Computed, not measured: Sc4Ru after structural relaxation at the PBE-GGA level of DFT.

Cell lengths 6.3948, 6.3948, 5.1898 Å; angles 90.00, 90.00, 90.00 degrees
Last column: nearest neighbours and their distance in Å.
Positions (direct):
Sc  0.1465  0.3143  0.0000  1 Ru 2.55
Sc  0.1857  0.6465  0.5000  1 Ru 2.55
Sc  0.3143  0.8535  0.0000  1 Ru 2.55
Sc  0.3535  0.1857  0.5000  1 Ru 2.55
Sc  0.6465  0.8143  0.5000  1 Ru 2.55
Sc  0.6857  0.1465  0.0000  1 Ru 2.55
Sc  0.8143  0.3535  0.5000  1 Ru 2.55
Sc  0.8535  0.6857  0.0000  1 Ru 2.55
Ru  0.0000  0.0000  0.5000  4 Sc 2.55
Ru  0.5000  0.5000  0.0000  4 Sc 2.55

- Calculated density: 4.40 g/cm³
- ΔH_f (0 K): -172 meV/atom
- Magnetization: 0.00 μB per formula unit
- Distance to the lowest polymorph of the same formula: 0.032 eV per atom
- E: -7.09 eV per atom

***

9.
Computed, not measured: ScRu after structural relaxation at the PBE-GGA level of DFT.

Cell lengths 4.4346, 4.4346, 5.2659 Å; angles 90.00, 90.00, 120.00 degrees
Last column: nearest neighbours and their distance in Å.
Positions (direct):
Sc  0.3333  0.6667  0.2500  5 Ru 2.56-2.63
Sc  0.6667  0.3333  0.7500  5 Ru 2.56-2.63
Ru  0.3333  0.6667  0.7500  5 Sc 2.56-2.63
Ru  0.6667  0.3333  0.2500  5 Sc 2.56-2.63

- Calculated density: 5.41 g/cm³
- ΔH_f (0 K): 629 meV/atom
- Magnetization: 0.14 μB per formula unit
- E: -7.17 eV per atom

***

10.
Computed, not measured: ScRu after structural relaxation at the PBE-GGA level of DFT.

Cell lengths 7.8678, 7.8678, 4.4184 Å; angles 90.00, 90.00, 120.00 degrees
Last column: nearest neighbours and their distance in Å.
Positions (direct):
Sc  0.1824  0.3648  0.2500  6 Ru 2.69-2.88
Sc  0.1824  0.8176  0.2500  6 Ru 2.69-2.88
Sc  0.3648  0.1824  0.7500  6 Ru 2.69-2.88
Sc  0.6352  0.8176  0.2500  6 Ru 2.69-2.88
Sc  0.8176  0.1824  0.7500  6 Ru 2.69-2.88
Sc  0.8176  0.6352  0.7500  6 Ru 2.69-2.88
Ru  0.1135  0.5567  0.7500  4 Ru 2.59-2.70, 6 Sc 2.69-2.88
Ru  0.4433  0.5567  0.7500  4 Ru 2.59-2.70, 6 Sc 2.69-2.88
Ru  0.4433  0.8865  0.7500  4 Ru 2.59-2.70, 6 Sc 2.69-2.88
Ru  0.5567  0.1135  0.2500  4 Ru 2.59-2.70, 6 Sc 2.69-2.88
Ru  0.5567  0.4433  0.2500  4 Ru 2.59-2.70, 6 Sc 2.69-2.88
Ru  0.8865  0.4433  0.2500  4 Ru 2.59-2.70, 6 Sc 2.69-2.88

- Calculated density: 6.14 g/cm³
- ΔH_f (0 K): -255 meV/atom
- Magnetization: 0.00 μB per formula unit
- E: -8.06 eV per atom

***

11.
Computed, not measured: Sc3Ru2 after structural relaxation at the PBE-GGA level of DFT.

Cell lengths 8.2992, 7.3373, 5.5167 Å; angles 79.04, 60.22, 40.74 degrees
Last column: nearest neighbours and their distance in Å.
Positions (direct):
Sc  0.0122  0.0122  0.2378  3 Ru 2.60-2.87, 2 Sc 2.78
Sc  0.2378  0.2378  0.0122  3 Ru 2.60-2.87, 2 Sc 2.78
Sc  0.3750  0.3750  0.3750  6 Ru 2.66-2.85
Sc  0.6250  0.6250  0.6250  6 Ru 2.66-2.85
Sc  0.7622  0.7622  0.9878  3 Ru 2.60-2.87, 2 Sc 2.78
Sc  0.9878  0.9878  0.7622  3 Ru 2.60-2.87, 2 Sc 2.78
Ru  0.1790  0.1790  0.5710  6 Sc 2.60-2.87
Ru  0.4290  0.4290  0.8210  6 Sc 2.60-2.87
Ru  0.5710  0.5710  0.1790  6 Sc 2.60-2.87
Ru  0.8210  0.8210  0.4290  6 Sc 2.60-2.87

- Calculated density: 6.23 g/cm³
- ΔH_f (0 K): -309 meV/atom
- Magnetization: 0.00 μB per formula unit
- Distance to the lowest polymorph of the same formula: 0.162 eV per atom
- E: -7.82 eV per atom

***

12.
Computed, not measured: Sc3Ru after structural relaxation at the PBE-GGA level of DFT.

Cell lengths 3.1613, 3.3006, 8.6302 Å; angles 90.00, 90.00, 90.00 degrees
Last column: nearest neighbours and their distance in Å.
Positions (direct):
Sc  0.0000  0.0000  0.0000  10 Sc 3.16-3.34
Sc  0.0000  0.5000  0.3368  4 Ru 2.66
Sc  0.5000  0.5000  0.7221  2 Ru 2.56
Ru  0.5000  0.0000  0.4949  6 Sc 2.56-2.66

- Calculated density: 4.35 g/cm³
- ΔH_f (0 K): -3 meV/atom
- Magnetization: 0.99 μB per formula unit
- E: -7.07 eV per atom

***

13.
Computed, not measured: ScRu after structural relaxation at the PBE-GGA level of DFT.

Cell lengths 3.0888, 3.0888, 8.7854 Å; angles 90.00, 90.00, 120.00 degrees
Last column: nearest neighbours and their distance in Å.
Positions (direct):
Sc  0.3333  0.6667  0.0000  4 Ru 2.49-2.61
Sc  0.6667  0.3333  0.5000  4 Ru 2.49-2.61
Ru  0.3333  0.6667  0.7164  4 Sc 2.49-2.61
Ru  0.6667  0.3333  0.2164  4 Sc 2.49-2.61

- Calculated density: 6.68 g/cm³
- ΔH_f (0 K): 87 meV/atom
- Magnetization: 0.00 μB per formula unit
- E: -7.72 eV per atom

***

Respective volume values: 14.8, 19.2, 19.5, 21.7, 17.1, 29.6, 20.0, 21.2, 22.4, 19.7, 18.0, 22.5, 18.1 A^3/atom.